The following is a DFT calculation (PBE-GGA) of a relaxed structure of PaS2O8.

Calculated values
E_form (uncorrected): -1.81 eV per atom
M_tot: 1.000 μB per formula unit

Cell lengths 5.4233, 6.0216, 5.9253 Å; angles 120.54, 104.03, 90.00 degrees
Last column: nearest neighbours and their distance in Å.
Atoms (fractional coordinates):
O: 0.3959 0.1531 0.3062  1 S 1.51
O: 0.2239 0.6527 0.3054  1 S 1.44
O: 0.2196 0.6702 0.7316  1 S 1.52
O: 0.7804 0.3298 0.2684  1 S 1.52
O: 0.7761 0.3473 0.6946  1 S 1.44
O: 0.7804 0.9386 0.2684  1 S 1.52
O: 0.6041 0.8469 0.6938  1 S 1.51
O: 0.2196 0.0614 0.7316  1 S 1.52
Pa: 0.0000 0.0000 0.0000  6 O 2.27-2.37
S: 0.6861 0.2001 0.4002  4 O 1.44-1.52
S: 0.3139 0.7999 0.5998  4 O 1.44-1.52